# 1
# Na2TlPt2Pb3

Crystalline Na2TlPt2Pb3 at its relaxed geometry (PBE-GGA, OQMD).

```
8
Lattice="-2.121 -2.742 2.752 3.337 -4.824 1.316 3.211 3.938 6.403" Properties=species:S:1:pos:R:3 pbc="T T T"
Tl 2.237 -4.312 6.313
Pt 1.152 0.638 6.875
Pt 3.308 -4.295 3.592
Na 3.599 -1.314 6.796
Na 0.835 -2.334 3.661
Pb 0.962 -5.939 3.710
Pb 3.472 2.315 6.771
Pb 2.144 0.728 4.164
```

Summary:
The space group is P1. As for the crystal system: triclinic. As for the total energy: -30.2 eV per cell.



# 2
# NaTlPtPb

Crystalline NaTlPtPb at its relaxed geometry (PBE-GGA, OQMD).

```
8
Lattice="4.386 0.000 0.000 0.000 8.198 0.000 -2.180 0.000 5.557" Properties=species:S:1:pos:R:3 pbc="T T T"
Na 1.108 4.099 3.546
Na 1.097 0.000 2.053
Tl -1.080 6.532 4.319
Tl -1.080 1.665 4.319
Pb 3.287 2.425 1.180
Pb 3.287 5.772 1.180
Pt 1.093 4.099 0.424
Pt 1.113 0.000 5.207
```

Summary:
For the polymorph energy (0 for the lowest one), the calculation gives 0.0 meV per atom. The space group is Pm. As for the crystal system: monoclinic.



# 3
# NaTlPtPb

Crystalline NaTlPtPb at its relaxed geometry (PBE-GGA, OQMD).

```
8
Lattice="4.375 0.000 0.000 -2.179 5.550 0.000 0.000 -0.051 8.251" Properties=species:S:1:pos:R:3 pbc="T T T"
Pt 1.106 5.164 2.100
Pt 1.090 0.335 6.152
Na 1.093 2.018 2.008
Na 1.102 3.481 6.244
Tl -1.082 4.339 0.340
Tl 3.278 1.160 7.911
Pb -1.083 4.318 3.702
Pb 3.278 1.181 4.549
```

Summary:
For the polymorph energy (0 for the lowest one), the calculation gives 1.0 meV per atom. The space group is P-1. As for the crystal system: triclinic.



no.,V (Å³/cell)
1,202.28
2,199.82
3,200.35